Entry from the Alexandria database: a relaxed structure of CaDySc (GGA-PBE).

## Properties
- magnetization (μB per formula unit) = 0.0
- calculated volume (Å³ per cell) = 95
- energy relative to the lowest polymorph listed for this composition (meV per atom) = 0.0
- SG = I4mm, No. 107
- formation energy (meV/atom) = 119
- final energy (eV/atom) = -4.19

a b c (Å): 3.5661 3.5661 7.8724
angles (deg): 103.09 103.09 90.00
With the nearest neighbours (Å) after each atom.
Atoms (fractional coordinates):
Ca  0.0050  0.0050  0.0100  4 Ca 3.57, 4 Sc 3.59, 4 Dy 3.76
Sc  0.6767  0.6767  0.3533  4 Dy 3.29, 4 Sc 3.57, 4 Ca 3.59
Dy  0.3184  0.3184  0.6367  4 Sc 3.29, 4 Dy 3.57

Entry from the Alexandria database: a relaxed structure of Ba2TiS4 (GGA-PBE).

## Properties
- magnetization (μB per formula unit) = 0.0
- calculated volume (Å³ per cell) = 409
- SG = P2_1/m, No. 11
- energy relative to the elements, uncorrected (eV per atom) = -1.82
- final energy (eV/atom) = -5.86

a b c (Å): 7.0199 6.8529 8.9723
angles (deg): 90.00 108.78 90.00
With the nearest neighbours (Å) after each atom.
Atoms (fractional coordinates):
S  0.8791  0.2500  0.0556  1 Ti 2.27
S  0.4981  0.0037  0.2696  1 Ti 2.25
S  0.4981  0.4963  0.2696  1 Ti 2.25
S  0.0778  0.7500  0.3591  1 Ti 2.28
S  0.1209  0.7500  0.9444  1 Ti 2.27
S  0.5019  0.9963  0.7304  1 Ti 2.25
S  0.5019  0.5037  0.7304  1 Ti 2.25
S  0.9222  0.2500  0.6409  1 Ti 2.28
Ba  0.2128  0.2500  0.4267  8 S 3.22-3.55
Ba  0.2880  0.2500  0.9567  6 S 3.15-3.37
Ba  0.7872  0.7500  0.5733  8 S 3.22-3.55
Ba  0.7120  0.7500  0.0433  6 S 3.15-3.37
Ti  0.2831  0.7500  0.2074  4 S 2.25-2.28
Ti  0.7169  0.2500  0.7926  4 S 2.25-2.28

Entry from the Alexandria database: a relaxed structure of Ba2LiOs (GGA-PBE).

## Properties
- magnetization (μB per formula unit) = 0.0
- calculated volume (Å³ per cell) = 140
- energy relative to the lowest polymorph listed for this composition (meV per atom) = 0.0
- SG = R3m, No. 160
- formation energy (meV/atom) = 437
- final energy (eV/atom) = -3.81

a b c (Å): 8.4032 8.4032 8.4032
angles (deg): 31.07 31.07 31.07
With the nearest neighbours (Å) after each atom.
Atoms (fractional coordinates):
Li  0.4583  0.4583  0.4583  3 Os 2.60
Os  0.7918  0.7918  0.7918  3 Li 2.60
Ba  0.2067  0.2067  0.2067  3 Os 3.25, 3 Li 3.25
Ba  0.0432  0.0432  0.0432  3 Li 3.25, 3 Os 3.26

Entry from the Alexandria database: a relaxed structure of KSiTe4 (GGA-PBE).

## Properties
- magnetization (μB per formula unit) = 0.0
- calculated volume (Å³ per cell) = 385
- energy relative to the lowest polymorph listed for this composition (meV per atom) = 92.6
- SG = P-1, No. 2
- energy relative to the elements, uncorrected (eV per atom) = -0.16
- final energy (eV/atom) = -3.34

a b c (Å): 6.8754 6.6213 10.0846
angles (deg): 115.05 110.02 89.94
With the nearest neighbours (Å) after each atom.
Atoms (fractional coordinates):
K  0.7816  0.7503  0.9998  8 Te 3.49-3.75
K  0.2184  0.2497  0.0002  8 Te 3.49-3.75
Te  0.2074  0.6229  0.8124  1 Si 2.72
Te  0.7926  0.3771  0.1876  1 Si 2.72
Te  0.3241  0.5523  0.4036  2 Si 2.79-2.82, 1 Te 2.83
Te  0.0786  0.0523  0.4035  2 Si 2.80-2.82, 1 Te 2.83
Te  0.6759  0.4477  0.5964  2 Si 2.79-2.82, 1 Te 2.83
Te  0.6029  0.1237  0.8119  1 Si 2.71
Te  0.3971  0.8763  0.1881  1 Si 2.71
Te  0.9214  0.9477  0.5965  2 Si 2.80-2.82, 1 Te 2.83
Si  0.5000  0.0000  0.5000  6 Te 2.71-2.82
Si  0.0000  0.5000  0.5000  6 Te 2.72-2.82

Entry from the Alexandria database: a relaxed structure of Pr8SmIr6 (GGA-PBE).

## Properties
- magnetization (μB per formula unit) = 0.0
- calculated volume (Å³ per cell) = 399
- SG = R-3, No. 148
- formation energy (meV/atom) = -557
- final energy (eV/atom) = -6.96

a b c (Å): 8.0025 8.0025 8.0025
angles (deg): 64.65 64.65 64.65
With the nearest neighbours (Å) after each atom.
Atoms (fractional coordinates):
Sm  0.0000  0.0000  0.0000  6 Ir 3.04
Pr  0.7802  0.4423  0.1133  5 Ir 3.01-3.20
Pr  0.6672  0.6672  0.6672  6 Ir 3.05-3.07
Pr  0.8867  0.2198  0.5577  5 Ir 3.01-3.20
Pr  0.1133  0.7802  0.4423  5 Ir 3.01-3.20
Pr  0.5577  0.8867  0.2198  5 Ir 3.01-3.20
Pr  0.2198  0.5577  0.8867  5 Ir 3.01-3.20
Pr  0.4423  0.1133  0.7802  5 Ir 3.01-3.20
Pr  0.3328  0.3328  0.3328  6 Ir 3.05-3.07
Ir  0.6110  0.2738  0.9430  7 Pr 3.01-3.20, 1 Sm 3.04
Ir  0.3890  0.7262  0.0570  7 Pr 3.01-3.20, 1 Sm 3.04
Ir  0.7262  0.0570  0.3890  7 Pr 3.01-3.20, 1 Sm 3.04
Ir  0.9430  0.6110  0.2738  7 Pr 3.01-3.20, 1 Sm 3.04
Ir  0.0570  0.3890  0.7262  7 Pr 3.01-3.20, 1 Sm 3.04
Ir  0.2738  0.9430  0.6110  7 Pr 3.01-3.20, 1 Sm 3.04

Entry from the Alexandria database: a relaxed structure of AcNdSm3 (GGA-PBE).

## Properties
- magnetization (μB per formula unit) = 0.0
- calculated volume (Å³ per cell) = 365
- energy relative to the lowest polymorph listed for this composition (meV per atom) = 0.0
- SG = P-1, No. 2
- formation energy (meV/atom) = 45
- final energy (eV/atom) = -4.56

a b c (Å): 3.7588 11.5119 8.8530
angles (deg): 74.90 90.10 80.67
With the nearest neighbours (Å) after each atom.
Atoms (fractional coordinates):
Sm  0.6625  0.2409  0.6479  1 Nd 3.62, 3 Ac 3.66-3.77, 8 Sm 3.68-3.81
Sm  0.0258  0.5198  0.4112  1 Nd 3.62, 3 Ac 3.66-3.77, 8 Sm 3.68-3.81
Sm  0.2614  0.0413  0.4544  6 Sm 3.55-3.79, 4 Nd 3.64-3.74, 2 Ac 3.71-3.73
Sm  0.4570  0.6529  0.0479  4 Nd 3.65-3.68, 5 Sm 3.68-3.79, 3 Ac 3.78-3.81
Sm  0.4269  0.7194  0.6047  6 Sm 3.55-3.79, 4 Nd 3.64-3.74, 2 Ac 3.71-3.73
Sm  0.2312  0.1078  0.0112  4 Nd 3.65-3.68, 5 Sm 3.68-3.79, 3 Ac 3.78-3.81
Ac  0.0575  0.4502  0.8389  8 Sm 3.66-3.81, 4 Ac 3.76-3.83
Ac  0.6306  0.3105  0.2202  8 Sm 3.66-3.81, 4 Ac 3.76-3.83
Nd  0.8601  0.8474  0.2462  9 Sm 3.62-3.74, 3 Nd 3.71-3.76
Nd  0.8282  0.9133  0.8129  9 Sm 3.62-3.74, 3 Nd 3.71-3.76

Entry from the Alexandria database: a relaxed structure of Li3W5 (GGA-PBE).

## Properties
- magnetization (μB per formula unit) = 0.0
- calculated volume (Å³ per cell) = 225
- energy relative to the lowest polymorph listed for this composition (meV per atom) = 257.5
- SG = P6_3/mcm, No. 193
- formation energy (meV/atom) = 750
- final energy (eV/atom) = -8.06

a b c (Å): 7.2953 7.2953 4.8862
angles (deg): 90.00 90.00 120.00
With the nearest neighbours (Å) after each atom.
Atoms (fractional coordinates):
W  0.3333  0.6667  0.5000  2 W 2.44, 6 Li 2.53
W  0.6667  0.3333  0.0000  2 W 2.44, 6 Li 2.53
W  0.3333  0.6667  0.0000  2 W 2.44, 6 Li 2.53
W  0.7795  0.7795  0.2500  5 Li 2.58-2.80, 2 W 2.79
W  0.2205  0.2205  0.7500  5 Li 2.58-2.80, 2 W 2.79
W  0.0000  0.7796  0.7500  5 Li 2.58-2.80, 2 W 2.79
W  0.6667  0.3333  0.5000  2 W 2.44, 6 Li 2.53
W  0.7796  0.0000  0.7500  5 Li 2.58-2.80, 2 W 2.79
W  0.2204  0.0000  0.2500  5 Li 2.58-2.80, 2 W 2.79
W  0.0000  0.2204  0.2500  5 Li 2.58-2.80, 2 W 2.79
Li  0.5928  0.0000  0.2500  9 W 2.53-2.80, 2 Li 2.79
Li  0.0000  0.5928  0.2500  9 W 2.53-2.80, 2 Li 2.79
Li  0.4072  0.4072  0.2500  9 W 2.53-2.80, 2 Li 2.79
Li  0.0000  0.4072  0.7500  9 W 2.53-2.80, 2 Li 2.79
Li  0.5929  0.5928  0.7500  9 W 2.53-2.80, 2 Li 2.79
Li  0.4072  0.0000  0.7500  9 W 2.53-2.80, 2 Li 2.79

Entry from the Alexandria database: a relaxed structure of K2CoNi (GGA-PBE).

## Properties
- magnetization (μB per formula unit) = 2.0
- calculated volume (Å³ per cell) = 91
- energy relative to the lowest polymorph listed for this composition (meV per atom) = 622.5
- SG = P2/m, No. 10
- formation energy (meV/atom) = 1154
- final energy (eV/atom) = -2.62

a b c (Å): 5.1472 3.0228 6.5589
angles (deg): 62.70 90.00 90.00
With the nearest neighbours (Å) after each atom.
Atoms (fractional coordinates):
Co  0.5000  0.7500  0.7500  2 Ni 2.91, 2 Co 3.02
K  0.0000  0.4948  0.4981  4 K 2.89-3.02
K  0.0000  0.0052  0.0019  4 K 2.89-3.02
Ni  0.5000  0.2500  0.2500  2 Co 2.91, 2 Ni 3.02

Entry from the Alexandria database: a relaxed structure of Al3GaAu7 (GGA-PBE).

## Properties
- magnetization (μB per formula unit) = 0.0
- calculated volume (Å³ per cell) = 204
- SG = C2/m, No. 12
- formation energy (meV/atom) = -192
- final energy (eV/atom) = -3.57

a b c (Å): 5.2635 6.2566 6.2566
angles (deg): 88.11 96.27 96.27
With the nearest neighbours (Å) after each atom.
Atoms (fractional coordinates):
Au  0.2130  0.2070  0.2070  3 Al 2.57-2.66, 1 Ga 2.83
Au  0.7284  0.0437  0.3958  3 Al 2.62-2.91, 2 Au 2.85-2.90
Au  0.7284  0.3958  0.0437  3 Al 2.62-2.91, 2 Au 2.85-2.90
Au  0.0000  0.5000  0.5000  2 Al 2.62, 2 Ga 2.63
Au  0.7870  0.7930  0.7930  3 Al 2.57-2.66, 1 Ga 2.83
Au  0.2716  0.6042  0.9563  3 Al 2.62-2.91, 2 Au 2.85-2.90
Au  0.2716  0.9563  0.6042  3 Al 2.62-2.91, 2 Au 2.85-2.90
Al  0.0000  0.8016  0.1984  7 Au 2.62-2.91
Al  0.0000  0.1984  0.8016  7 Au 2.62-2.91
Al  0.5000  0.0000  0.0000  6 Au 2.57-2.64
Ga  0.5000  0.5000  0.5000  4 Au 2.63-2.83

Entry from the Alexandria database: a relaxed structure of Cs3Hg4Pd2 (GGA-PBE).

## Properties
- magnetization (μB per formula unit) = 0.0
- calculated volume (Å³ per cell) = 331
- SG = C2/m, No. 12
- formation energy (meV/atom) = -198
- final energy (eV/atom) = -1.77

a b c (Å): 5.1751 7.1365 10.1366
angles (deg): 106.93 90.00 111.26
With the nearest neighbours (Å) after each atom.
Atoms (fractional coordinates):
Cs  0.3934  0.7868  0.3166  6 Hg 3.62-3.96, 4 Pd 3.71-3.96, 1 Cs 3.91
Cs  0.6066  0.2132  0.6834  6 Hg 3.62-3.96, 4 Pd 3.71-3.96, 1 Cs 3.91
Cs  0.0000  0.0000  0.0000  8 Hg 3.82-4.05
Hg  0.2781  0.5562  0.9156  1 Pd 2.75
Hg  0.7219  0.4438  0.0844  1 Pd 2.75
Hg  0.8472  0.6944  0.5874  3 Pd 2.76-2.88
Hg  0.1528  0.3056  0.4126  3 Pd 2.76-2.88
Pd  0.6754  0.3508  0.3308  4 Hg 2.75-2.88
Pd  0.3246  0.6492  0.6692  4 Hg 2.75-2.88

- What is the formula in the ninth record?
  Al3GaAu7